Here is a relaxed structure of V5B2C from Alexandria. Energies are from GGA-PBE.

Lattice parameters (Å, degrees): 5.5734 5.5734 6.4835 115.46 115.46 90.00
With the nearest neighbours (Å) after each atom.
Sites, in units of the cell vectors:
1 B 0.1142 0.3858 0.0000  1 B 1.80
2 B 0.8858 0.6142 0.0000  1 B 1.80
3 B 0.3858 0.8858 0.0000  1 B 1.80
4 B 0.6142 0.1142 0.0000  1 B 1.80
5 V 0.1811 0.0274 0.7086  3 B 2.22-2.25, 2 C 2.32, 1 V 2.47
6 V 0.0274 0.5274 0.7086  3 B 2.22-2.25, 2 C 2.32, 1 V 2.47
7 V 0.8189 0.9726 0.2914  3 B 2.22-2.25, 2 C 2.32, 1 V 2.47
8 V 0.0000 0.0000 0.0000  4 B 2.24
9 V 0.5274 0.6811 0.7086  3 B 2.22-2.25, 2 C 2.32, 1 V 2.47
10 V 0.6811 0.1811 0.7086  3 B 2.22-2.25, 2 C 2.32, 1 V 2.47
11 V 0.4726 0.3189 0.2914  3 B 2.22-2.25, 2 C 2.32, 1 V 2.47
12 V 0.5000 0.5000 0.0000  4 B 2.24
13 V 0.9726 0.4726 0.2914  3 B 2.22-2.25, 2 C 2.32, 1 V 2.47
14 V 0.3189 0.8189 0.2914  3 B 2.22-2.25, 2 C 2.32, 1 V 2.47
15 C 0.2500 0.2500 0.5000  10 V 2.32-2.57
16 C 0.7500 0.7500 0.5000  10 V 2.32-2.57

electronic total energy	-9.0659	eV/atom
SG	No. 140
DOS(E_F)	6.50	states/eV per cell
crystal system	tetragonal
DFT formation energy	-0.544	eV/atom